No. 1
## Dy4CBr4F (PBE)

Data for a geometry-optimized Dy4CBr4F structure.

Cell: 9.0283 9.0283 7.4976 Å, 101.10 101.10 23.47°
Positions (direct):
Br 0.8279 0.8279 0.1881
Br 0.1609 0.1609 0.3619
Br 0.8391 0.8391 0.6381
Br 0.1721 0.1721 0.8119
C 0.5000 0.5000 0.0000
Dy 0.6376 0.6376 0.0730
Dy 0.9976 0.9976 0.2247
Dy 0.0024 0.0024 0.7753
Dy 0.3624 0.3624 0.9270
F 0.5000 0.5000 0.5000

Properties
The total energy is -52.3 eV for the cell shown. The value obtained for the total magnetic moment is 0.001 μB per atom. As for the symmetry: C2/m (12). As for the crystal system: monoclinic.

---

No. 2
## ZrS2 (PBE)

Data for a geometry-optimized ZrS2 structure.

Cell: 3.5683 3.5683 22.6607 Å, 90.00 90.00 119.83°
Positions (direct):
S 0.7517 0.2483 0.1803
S 0.7517 0.2483 0.3197
S 0.2483 0.7517 0.6803
S 0.2483 0.7517 0.8197
Zr 0.4171 0.5829 0.2500
Zr 0.5829 0.4171 0.7500

Properties
The total energy is -41.6 eV for the cell shown. The value obtained for the total magnetic moment is 0.000 μB per atom. As for the symmetry: Cmcm (63). As for the crystal system: orthorhombic.

---

No. 3
## SiB4Mo3 (PBE)

Data for a geometry-optimized SiB4Mo3 structure.

Cell: 3.0856 3.1583 8.2523 Å, 90.00 90.00 90.00°
Positions (direct):
B 0.0000 0.0000 0.2776
B 0.5000 0.0000 0.3900
B 0.5000 0.0000 0.6100
B 0.0000 0.0000 0.7224
Mo 0.5000 0.5000 0.1864
Mo 0.0000 0.5000 0.5000
Mo 0.5000 0.5000 0.8136
Si 0.0000 0.0000 0.0000

Properties
The total energy is -67.3 eV for the cell shown. The value obtained for the total magnetic moment is 0.001 μB per atom. As for the symmetry: Pmmm (47). As for the crystal system: orthorhombic.

---

Which of these has the lowest total energy? SiB4Mo3